Record 1
## LiTc2Cl (PBE-GGA)

Data for crystalline LiTc2Cl at its relaxed geometry.

It has space group P4/mmm (No. 123), with a = 3.410 Å, b = 3.410 Å, c = 8.029 Å, α = 90.00°, β = 90.00° and γ = 90.00°. The inequivalent atoms are Li at (0.000, 0.000, 0.000), Tc at (0.000, 0.500, 0.500) and Cl at (0.500, 0.500, 0.000).

The uncorrected formation energy is 1.1 eV per formula unit. Its offset from the most stable computed form is 1.836 eV/f.u. The density of states at the Fermi level is 3.47 states/eV/cell. Its electronic total energy is -23.39 eV per cell.

***

Record 2
## KWN2 (PBE-GGA)

Data for crystalline KWN2 at its relaxed geometry.

It has space group Pnma (No. 62), with a = 6.145 Å, b = 6.121 Å, c = 8.069 Å, α = 90.00°, β = 90.00° and γ = 90.00°. The inequivalent atoms are K at (0.102, 0.250, 0.125), W at (0.064, 0.250, 0.630), N at (0.000, 0.000, 0.500) and N at (0.131, 0.750, 0.187).

The uncorrected formation energy is -1.8 eV per formula unit. Its offset from the most stable computed form is 0.000 eV/f.u. The density of states at the Fermi level is 6.71 states/eV/cell. Its electronic total energy is -130.16 eV per cell.

***

Record 3
## Ca2FeSeN (PBE-GGA)

Data for crystalline Ca2FeSeN at its relaxed geometry.

It has space group P4/mmm (No. 123), with a = 5.055 Å, b = 5.055 Å, c = 3.650 Å, α = 90.00°, β = 90.00° and γ = 90.00°. The inequivalent atoms are Ca at (0.000, 0.500, 0.000), Fe at (0.000, 0.000, 0.500), Se at (0.500, 0.500, 0.500) and N at (0.000, 0.000, 0.000).

The uncorrected formation energy is -4.8 eV per formula unit. The density of states at the Fermi level is 1.75 states/eV/cell. Its electronic total energy is -29.04 eV per cell.

***

Record 4
## Er4GaPb2 (PBE-GGA)

Data for crystalline Er4GaPb2 at its relaxed geometry.

It has space group P2_1/m (No. 11), with a = 5.645 Å, b = 6.456 Å, c = 10.522 Å, α = 90.00°, β = 98.98° and γ = 90.00°. The inequivalent atoms are Er at (0.137, 0.250, 0.114), Er at (0.245, 0.750, 0.437), Er at (0.312, 0.008, 0.734), Ga at (0.076, 0.750, 0.170), Pb at (0.219, 0.250, 0.427) and Pb at (0.404, 0.750, 0.005).

Its formation energy is -33.9 kJ per mole of atoms. The density of states at the Fermi level is 11.39 states/eV/cell. Its electronic total energy is -62.30 eV per cell.

***

Record 5
## Pr6SmIn2 (PBE-GGA)

Data for crystalline Pr6SmIn2 at its relaxed geometry.

It has space group Immm (No. 71), with a = 3.501 Å, b = 9.597 Å, c = 17.366 Å, α = 90.00°, β = 90.00° and γ = 90.00°. The inequivalent atoms are Pr at (0.000, 0.163, 0.000), Pr at (0.000, 0.313, 0.171), Sm at (0.000, 0.000, 0.500) and In at (0.000, 0.500, 0.347).

Its offset from the most stable computed form is 1.045 eV/f.u. Its formation energy is -7.7 kJ per mole of atoms. The density of states at the Fermi level is 26.31 states/eV/cell. Its electronic total energy is -79.19 eV per cell.

***

Record 6
## CaCdPdSe2 (PBE-GGA)

Data for crystalline CaCdPdSe2 at its relaxed geometry.

It has space group P4/mmm (No. 123), with a = 5.250 Å, b = 5.250 Å, c = 4.983 Å, α = 90.00°, β = 90.00° and γ = 90.00°. The inequivalent atoms are Ca at (0.000, 0.000, 0.000), Cd at (0.500, 0.500, 0.500), Pd at (0.500, 0.500, 0.000) and Se at (0.000, 0.500, 0.500).

The uncorrected formation energy is -1.1 eV per formula unit. The density of states at the Fermi level is 1.15 states/eV/cell. Its electronic total energy is -16.21 eV per cell.

***

Record 7
## TbHfPa (PBE-GGA)

Data for crystalline TbHfPa at its relaxed geometry.

It has space group P-6m2 (No. 187), with a = 5.2351 Å, b = 5.2351 Å, c = 3.3009 Å, α = 90.00°, β = 90.00° and γ = 120.00°. The inequivalent atoms are Tb at (0.0000, 0.0000, 0.0000), Hf at (0.6667, 0.3333, 0.5000) and Pa at (0.3333, 0.6667, 0.5000).

Its offset from the most stable computed form is 0.349 eV/f.u. Its formation energy is 25.3 kJ per mole of atoms. The density of states at the Fermi level is 4.52 states/eV/cell. Its electronic total energy is -23.29 eV per cell.

***

Record 8
## Ca4Hg2Pd (PBE-GGA)

Data for crystalline Ca4Hg2Pd at its relaxed geometry.

It has space group I4/mmm (No. 139), with a = 5.421 Å, b = 5.421 Å, c = 15.905 Å, α = 90.00°, β = 90.00° and γ = 90.00°. The inequivalent atoms are Ca at (0.000, 0.000, 0.182), Ca at (0.000, 0.500, 0.000), Hg at (0.000, 0.000, 0.379) and Pd at (0.000, 0.000, 0.000).

Its offset from the most stable computed form is 0.560 eV/f.u. Its formation energy is -36.5 kJ per mole of atoms. The density of states at the Fermi level is 8.99 states/eV/cell. Its electronic total energy is -32.90 eV per cell.

***

Record 9
## NbCdRh (PBE-GGA)

Data for crystalline NbCdRh at its relaxed geometry.

It has space group Imm2 (No. 44), with a = 2.939 Å, b = 3.971 Å, c = 8.838 Å, α = 90.00°, β = 90.00° and γ = 90.00°. The inequivalent atoms are Nb at (0.000, 0.000, 0.000), Cd at (0.000, 0.000, 0.679) and Rh at (0.000, 0.000, 0.349).

Its formation energy is -10.0 kJ per mole of atoms. The density of states at the Fermi level is 4.12 states/eV/cell. Its electronic total energy is -37.29 eV per cell.

***

Record 10
## KCdSnPb2 (PBE-GGA)

Data for crystalline KCdSnPb2 at its relaxed geometry.

It has space group I-4m2 (No. 119), with a = 4.797 Å, b = 4.797 Å, c = 14.742 Å, α = 90.00°, β = 90.00° and γ = 90.00°. The inequivalent atoms are K at (0.000, 0.000, 0.000), Cd at (0.000, 0.500, 0.750), Sn at (0.000, 0.500, 0.250) and Pb at (0.000, 0.000, 0.385).

Its formation energy is -8.2 kJ per mole of atoms. The density of states at the Fermi level is 2.08 states/eV/cell. Its electronic total energy is -27.71 eV per cell.

***

Record 11
## SrTl4Sn (PBE-GGA)

Data for crystalline SrTl4Sn at its relaxed geometry.

It has space group F-43m (No. 216), with a = 9.169 Å, b = 9.169 Å, c = 9.169 Å, α = 90.00°, β = 90.00° and γ = 90.00°. The inequivalent atoms are Sr at (0.000, 0.000, 0.000), Tl at (0.124, 0.124, 0.376) and Sn at (0.250, 0.250, 0.750).

Its offset from the most stable computed form is 0.502 eV/f.u. Its formation energy is -9.3 kJ per mole of atoms. The density of states at the Fermi level is 2.93 states/eV/cell. Its electronic total energy is -62.90 eV per cell.

***

Record 12
## TaAlRh2 (PBE-GGA)

Data for crystalline TaAlRh2 at its relaxed geometry.

It has space group P4/mmm (No. 123), with a = 2.906 Å, b = 2.906 Å, c = 6.983 Å, α = 90.00°, β = 90.00° and γ = 90.00°. The inequivalent atoms are Ta at (0.000, 0.000, 0.000), Al at (0.000, 0.000, 0.500) and Rh at (0.500, 0.500, 0.275).

Its formation energy is -77.4 kJ per mole of atoms. The density of states at the Fermi level is 3.19 states/eV/cell. Its electronic total energy is -33.51 eV per cell.

***

Record 13
## MgH2I (PBE-GGA)

Data for crystalline MgH2I at its relaxed geometry.

It has space group Fm-3m (No. 225), with a = 6.183 Å, b = 6.183 Å, c = 6.183 Å, α = 90.00°, β = 90.00° and γ = 90.00°. The inequivalent atoms are Mg at (0.000, 0.000, 0.000), H at (0.250, 0.250, 0.250) and I at (0.000, 0.000, 0.500).

Its offset from the most stable computed form is 1.921 eV/f.u. The density of states at the Fermi level is 12.37 states/eV/cell. Its electronic total energy is -29.80 eV per cell.

***

Record 14
## SmHoMgZn (PBE-GGA)

Data for crystalline SmHoMgZn at its relaxed geometry.

It has space group P4mm (No. 99), with a = 3.616 Å, b = 3.616 Å, c = 7.810 Å, α = 90.00°, β = 90.00° and γ = 90.00°. The inequivalent atoms are Sm at (0.000, 0.000, 0.000), Ho at (0.000, 0.000, 0.553), Mg at (0.500, 0.500, 0.284) and Zn at (0.500, 0.500, 0.763).

Its offset from the most stable computed form is 0.000 eV/f.u. Its formation energy is -20.0 kJ per mole of atoms. The density of states at the Fermi level is 4.56 states/eV/cell. Its electronic total energy is -12.99 eV per cell.

***

Record 15
## CaPrTlCu (PBE-GGA)

Data for crystalline CaPrTlCu at its relaxed geometry.

It has space group F-43m (No. 216), with a = 7.537 Å, b = 7.537 Å, c = 7.537 Å, α = 90.00°, β = 90.00° and γ = 90.00°. The inequivalent atoms are Ca at (0.000, 0.000, 0.000), Pr at (0.000, 0.000, 0.500), Tl at (0.250, 0.250, 0.750) and Cu at (0.250, 0.250, 0.250).

Its formation energy is -23.0 kJ per mole of atoms. The density of states at the Fermi level is 12.53 states/eV/cell. Its electronic total energy is -56.79 eV per cell.

***

Record 16
## CaDyPu (PBE-GGA)

Data for crystalline CaDyPu at its relaxed geometry.

It has space group I4mm (No. 107), with a = 3.513 Å, b = 3.513 Å, c = 15.822 Å, α = 90.00°, β = 90.00° and γ = 90.00°. The inequivalent atoms are Ca at (0.000, 0.000, 0.000), Dy at (0.000, 0.000, 0.321) and Pu at (0.000, 0.000, 0.671).

Its offset from the most stable computed form is 0.000 eV/f.u. Its formation energy is 20.6 kJ per mole of atoms. The density of states at the Fermi level is 20.18 states/eV/cell. Its electronic total energy is -40.59 eV per cell.

***

Record 17
## La6TlPb2 (PBE-GGA)

Data for crystalline La6TlPb2 at its relaxed geometry.

It has space group P-62m (No. 189), with a = 8.8817 Å, b = 8.8817 Å, c = 4.5333 Å, α = 90.00°, β = 90.00° and γ = 120.00°. The inequivalent atoms are La at (0.0000, 0.4109, 0.0000), La at (0.0000, 0.7318, 0.5000), Tl at (0.0000, 0.0000, 0.0000) and Pb at (0.3333, 0.6667, 0.5000).

Its formation energy is -40.1 kJ per mole of atoms. The density of states at the Fermi level is 13.59 states/eV/cell. Its electronic total energy is -43.08 eV per cell.

***

Record 18
## Sm2HoSb4 (PBE-GGA)

Data for crystalline Sm2HoSb4 at its relaxed geometry.

It has space group P-4m2 (No. 115), with a = 4.320 Å, b = 4.320 Å, c = 11.645 Å, α = 90.00°, β = 90.00° and γ = 90.00°. The inequivalent atoms are Sm at (0.000, 0.500, 0.210), Ho at (0.000, 0.000, 0.500), Sb at (0.000, 0.000, 0.000), Sb at (0.000, 0.500, 0.681) and Sb at (0.500, 0.500, 0.000).

The uncorrected formation energy is -5.9 eV per formula unit. The density of states at the Fermi level is 2.13 states/eV/cell. Its electronic total energy is -36.38 eV per cell.

***

Record 19
## Ho2Er2Te5 (PBE-GGA)

Data for crystalline Ho2Er2Te5 at its relaxed geometry.

It has space group Cmmm (No. 65), with a = 6.021 Å, b = 18.341 Å, c = 6.092 Å, α = 90.00°, β = 90.00° and γ = 90.00°. The inequivalent atoms are Ho at (0.000, 0.156, 0.000), Er at (0.000, 0.315, 0.500), Te at (0.000, 0.000, 0.000), Te at (0.000, 0.152, 0.500) and Te at (0.000, 0.331, 0.000).

The uncorrected formation energy is -10.4 eV per formula unit. The density of states at the Fermi level is 6.98 states/eV/cell. Its electronic total energy is -88.88 eV per cell.

***

Record 20
## CeNdHo3Tm (PBE-GGA)

Data for crystalline CeNdHo3Tm at its relaxed geometry.

It has space group Cmcm (No. 63), with a = 5.825 Å, b = 11.259 Å, c = 11.652 Å, α = 90.00°, β = 90.00° and γ = 90.00°. The inequivalent atoms are Ce at (0.000, 0.002, 0.250), Nd at (0.000, 0.500, 0.000), Ho at (0.000, 0.171, 0.502), Ho at (0.000, 0.326, 0.250) and Tm at (0.000, 0.329, 0.750).

Its formation energy is 14.4 kJ per mole of atoms. The density of states at the Fermi level is 60.22 states/eV/cell. Its electronic total energy is -112.05 eV per cell.